Here is a geometry-optimized Rb2MnS2 structure from Alexandria. Energies are from GGA-PBE.

Structure (POSCAR):
```
Rb2MnS2
1.0
-3.573 6.642 3.212
3.573 -6.642 3.212
3.573 6.642 -3.212
Rb Mn S
4 2 4
direct
0.148 0.161 0.309 Rb
0.352 0.661 0.014 Rb
0.648 0.339 0.986 Rb
0.852 0.839 0.691 Rb
0.250 0.750 0.500 Mn
0.750 0.250 0.500 Mn
0.099 0.683 0.781 S
0.401 0.183 0.584 S
0.599 0.817 0.416 S
0.901 0.317 0.219 S
```

Computed properties:
Formation energy from raw total energies in meV per atom: -957
Size of the total moment in μB per cell: 10.00